[1]
Here is a relaxed structure of NaPaTeSe from Alexandria via LeMat-Bulk. Energies are from PBE.

a b c (Å): 4.095 4.095 8.302
angles (deg): 90.00 104.28 120.01
Sites, in units of the cell vectors:
Te: 0.298 0.547 0.860
Na: 0.143 0.969 0.128
Se: 0.977 0.387 0.379
Pa: 0.460 0.128 0.603

Summary:
Formation energy without anion corrections (eV/atom): -1.0160
Energy (eV/atom): -5.3763
Total moment (μB/atom): 0.503
Symmetry: R3m

[2]
Here is a relaxed structure of Na3Th2PaSe6 from Alexandria via LeMat-Bulk. Energies are from PBE.

a b c (Å): 4.122 8.684 9.634
angles (deg): 107.07 102.35 90.00
Sites, in units of the cell vectors:
Th: 0.838 0.677 0.676
Se: 0.002 0.759 0.004
Na: 0.500 0.500 0.000
Se: 0.329 0.423 0.658
Se: 0.664 0.081 0.328
Th: 0.162 0.323 0.324
Se: 0.671 0.577 0.342
Na: 0.168 0.831 0.335
Na: 0.832 0.169 0.665
Pa: 0.500 0.000 0.000
Se: 0.998 0.241 0.996
Se: 0.336 0.919 0.672

Summary:
Formation energy without anion corrections (eV/atom): -1.4043
Energy (eV/atom): -5.5043
Total moment (μB/atom): 0.205
Symmetry: C2/m

[3]
Here is a relaxed structure of Na4PaTi3Se8 from Alexandria via LeMat-Bulk. Energies are from PBE.

a b c (Å): 7.717 8.378 7.718
angles (deg): 117.46 119.99 90.00
Sites, in units of the cell vectors:
Se: 0.736 0.708 0.472
Na: 0.500 0.000 0.000
Se: 0.274 0.277 0.025
Ti: 0.500 0.500 0.500
Na: 0.000 0.000 0.000
Na: 0.000 0.000 0.500
Se: 0.248 0.723 0.975
Ti: 0.000 0.500 0.500
Se: 0.752 0.277 0.025
Se: 0.248 0.722 0.497
Pa: 0.000 0.500 0.000
Se: 0.752 0.278 0.503
Na: 0.500 0.000 0.500
Se: 0.264 0.292 0.528
Se: 0.726 0.723 0.975
Ti: 0.500 0.500 0.000

Summary:
Formation energy without anion corrections (eV/atom): -1.2154
Energy (eV/atom): -5.3612
Total moment (μB/atom): 0.314
Symmetry: R-3m

[4]
Here is a relaxed structure of NaPaTiSe4 from Alexandria via LeMat-Bulk. Energies are from PBE.

a b c (Å): 8.910 7.960 7.886
angles (deg): 119.69 90.00 124.03
Sites, in units of the cell vectors:
Na: 0.074 0.148 0.824
Ti: 0.500 0.000 0.000
Pa: 0.000 0.500 0.500
Se: 0.290 0.976 0.238
Se: 0.247 0.495 0.726
Se: 0.710 0.024 0.762
Ti: 0.500 0.000 0.500
Se: 0.247 0.495 0.269
Se: 0.313 0.024 0.762
Se: 0.753 0.505 0.274
Se: 0.687 0.976 0.238
Se: 0.753 0.505 0.731
Na: 0.926 0.852 0.176
Pa: 0.500 0.500 0.500

Summary:
Formation energy without anion corrections (eV/atom): -1.2215
Energy (eV/atom): -5.8855
Total moment (μB/atom): 0.289
Symmetry: Imma

[5]
Here is a relaxed structure of Na4Pa3TiSe8 from Alexandria via LeMat-Bulk. Energies are from PBE.

a b c (Å): 8.024 8.582 8.025
angles (deg): 117.91 120.00 90.00
Sites, in units of the cell vectors:
Se: 0.235 0.729 0.994
Se: 0.748 0.743 0.495
Se: 0.765 0.271 0.529
Pa: 0.000 0.500 0.500
Pa: 0.500 0.500 0.500
Na: 0.500 0.000 0.500
Se: 0.235 0.729 0.471
Pa: 0.500 0.500 0.000
Se: 0.241 0.271 0.006
Se: 0.252 0.257 0.505
Na: 0.500 0.000 0.000
Na: 0.000 0.000 0.500
Na: 0.000 0.000 0.000
Ti: 0.000 0.500 0.000
Se: 0.765 0.271 0.006
Se: 0.759 0.729 0.994

Summary:
Formation energy without anion corrections (eV/atom): -1.2451
Energy (eV/atom): -5.5911
Total moment (μB/atom): 0.432
Symmetry: R-3m

[6]
Here is a relaxed structure of Na2PaTi2Se6 from Alexandria via LeMat-Bulk. Energies are from PBE.

a b c (Å): 6.646 6.646 7.533
angles (deg): 98.25 98.25 120.51
Sites, in units of the cell vectors:
Ti: 0.332 0.668 0.500
Na: 0.838 0.162 0.000
Se: 0.421 0.072 0.717
Se: 0.579 0.928 0.283
Na: 0.162 0.838 0.000
Se: 0.718 0.718 0.716
Ti: 0.668 0.332 0.500
Se: 0.928 0.579 0.283
Se: 0.072 0.421 0.717
Se: 0.282 0.282 0.284
Pa: 0.000 0.000 0.500

Summary:
Formation energy without anion corrections (eV/atom): -1.2526
Energy (eV/atom): -5.6918
Total moment (μB/atom): 0.276
Symmetry: C2/m

[7]
Here is a relaxed structure of Na3PaTi2Se6 from Alexandria via LeMat-Bulk. Energies are from PBE.

a b c (Å): 6.732 6.732 7.449
angles (deg): 98.63 98.63 120.13
Sites, in units of the cell vectors:
Se: 0.281 0.281 0.787
Pa: 0.000 0.000 0.000
Se: 0.574 0.921 0.775
Na: 0.840 0.160 0.500
Se: 0.426 0.079 0.225
Se: 0.719 0.719 0.213
Ti: 0.322 0.678 0.000
Na: 0.160 0.840 0.500
Se: 0.921 0.574 0.775
Ti: 0.678 0.322 0.000
Na: 0.500 0.500 0.500
Se: 0.079 0.426 0.225

Summary:
Formation energy without anion corrections (eV/atom): -1.2309
Energy (eV/atom): -5.4100
Total moment (μB/atom): 0.336
Symmetry: C2/m

[8]
Here is a relaxed structure of Na2PaTl3Se6 from Alexandria via LeMat-Bulk. Energies are from PBE.

a b c (Å): 7.536 7.536 7.524
angles (deg): 99.74 99.74 120.71
Sites, in units of the cell vectors:
Na: 0.333 0.667 0.000
Tl: 0.500 0.500 0.500
Se: 0.232 0.232 0.776
Pa: 0.000 0.000 0.000
Se: 0.922 0.616 0.775
Na: 0.667 0.333 0.000
Tl: 0.163 0.837 0.500
Se: 0.078 0.384 0.225
Tl: 0.837 0.163 0.500
Se: 0.768 0.768 0.224
Se: 0.616 0.922 0.775
Se: 0.384 0.078 0.225

Summary:
Formation energy without anion corrections (eV/atom): -0.8139
Energy (eV/atom): -4.1589
Total moment (μB/atom): 0.000
Symmetry: C2/m

[9]
Here is a relaxed structure of NaPaTlSe3 from Alexandria via LeMat-Bulk. Energies are from PBE.

a b c (Å): 4.203 10.286 8.116
angles (deg): 94.18 90.00 90.00
Sites, in units of the cell vectors:
Na: 0.250 0.989 0.740
Se: 0.750 0.822 0.932
Tl: 0.250 0.335 0.442
Se: 0.750 0.168 0.623
Pa: 0.250 0.681 0.080
Se: 0.250 0.832 0.377
Pa: 0.750 0.319 0.920
Se: 0.250 0.484 0.805
Na: 0.750 0.011 0.260
Se: 0.750 0.516 0.195
Se: 0.250 0.178 0.068
Tl: 0.750 0.665 0.558

Summary:
Formation energy without anion corrections (eV/atom): -1.1055
Energy (eV/atom): -5.0446
Total moment (μB/atom): 0.168
Symmetry: P2_1/m

[10]
Here is a relaxed structure of NaTm2PaSe4 from Alexandria via LeMat-Bulk. Energies are from PBE.

a b c (Å): 3.998 7.030 7.151
angles (deg): 71.45 90.00 90.00
Sites, in units of the cell vectors:
Na: 0.500 0.500 0.000
Se: 0.000 0.759 0.747
Se: 0.500 0.757 0.244
Se: 0.000 0.241 0.253
Tm: 0.000 0.000 0.000
Tm: 0.500 0.000 0.500
Se: 0.500 0.243 0.756
Pa: 0.000 0.500 0.500

Summary:
Formation energy without anion corrections (eV/atom): -1.5089
Energy (eV/atom): -5.7209
Total moment (μB/atom): 0.166
Symmetry: P2/m

[11]
Here is a relaxed structure of Na3Tm3PaSe8 from Alexandria via LeMat-Bulk. Energies are from PBE.

a b c (Å): 8.221 8.220 8.494
angles (deg): 118.96 90.00 120.00
Sites, in units of the cell vectors:
Na: 0.000 0.000 0.000
Se: 0.258 0.516 0.274
Se: 0.757 0.514 0.275
Tm: 0.500 0.000 0.500
Na: 0.500 0.500 0.000
Tm: 0.500 0.500 0.500
Se: 0.243 0.982 0.725
Na: 0.000 0.500 0.000
Se: 0.243 0.486 0.725
Se: 0.261 0.018 0.275
Se: 0.757 0.018 0.275
Tm: 0.000 0.500 0.500
Se: 0.739 0.982 0.725
Pa: 0.000 0.000 0.500
Se: 0.742 0.484 0.726

Summary:
Formation energy without anion corrections (eV/atom): -1.6173
Energy (eV/atom): -5.2668
Total moment (μB/atom): 0.069
Symmetry: R-3m

[12]
Here is a relaxed structure of Na4Tm3PaSe8 from Alexandria via LeMat-Bulk. Energies are from PBE.

a b c (Å): 8.213 8.481 8.213
angles (deg): 118.96 120.00 90.00
Sites, in units of the cell vectors:
Se: 0.246 0.731 0.492
Na: 0.000 0.000 0.000
Se: 0.742 0.727 0.485
Tm: 0.500 0.500 0.000
Na: 0.500 0.000 0.000
Se: 0.754 0.269 0.015
Se: 0.246 0.731 0.985
Se: 0.739 0.731 0.985
Na: 0.000 0.000 0.500
Se: 0.261 0.269 0.015
Se: 0.258 0.273 0.515
Se: 0.754 0.269 0.508
Tm: 0.500 0.500 0.500
Pa: 0.000 0.500 0.000
Tm: 0.000 0.500 0.500
Na: 0.500 0.000 0.500

Summary:
Formation energy without anion corrections (eV/atom): -1.5649
Energy (eV/atom): -5.0688
Total moment (μB/atom): 0.115
Symmetry: R-3m